A.
First-principles (PBE+U) data for KCr3O after structural relaxation, as listed in the Alexandria database.

Lattice parameters (Å, degrees): 4.7203 4.7203 4.7203 90.00 90.00 90.00
Last column: nearest neighbours and their distance in Å.
Sites, in units of the cell vectors:
1 Cr 0.5000 0.0000 0.0000  2 O 2.36
2 Cr 0.0000 0.0000 0.5000  2 O 2.36
3 Cr 0.0000 0.5000 0.0000  2 O 2.36
4 K 0.5000 0.5000 0.5000  12 Cr 3.34
5 O 0.0000 0.0000 0.0000  6 Cr 2.36

***

B.
First-principles (PBE+U) data for KCr3O after structural relaxation, as listed in the Alexandria database.

Lattice parameters (Å, degrees): 5.8203 5.8203 5.8203 90.00 90.00 90.00
Last column: nearest neighbours and their distance in Å.
Sites, in units of the cell vectors:
1 Cr 0.0000 0.0000 0.5000  2 K 2.91
2 Cr 0.0000 0.5000 0.0000  2 K 2.91
3 Cr 0.5000 0.0000 0.0000  2 K 2.91
4 O 0.5000 0.5000 0.5000  12 Cr 4.12
5 K 0.0000 0.0000 0.0000  6 Cr 2.91

***

Energy comparison, zero being the most stable, in meV/atom: A 0; B 1694.